Record 1
Here is an optimized crystal structure of RbNaCdSn from the Alexandria database. Energies are from GGA-PBE.

CIF file:
```
data_RbNaCdSn
_space_group_name_H-M_alt 'F -4 3 m'
_space_group_IT_number 216
_space_group_name_Hall 'F -4 2 3'
_cell_length_a 7.856
_cell_length_b 7.856
_cell_length_c 7.856
_cell_angle_alpha 90.00
_cell_angle_beta 90.00
_cell_angle_gamma 90.00
loop_
_atom_site_label
_atom_site_fract_x
_atom_site_fract_y
_atom_site_fract_z
Rb1 0.000 0.000 0.000
Na1 0.250 0.250 0.250
Cd1 0.250 0.250 0.750
Sn1 0.000 0.000 0.500
```

Calculated values
DFT formation energy ... -70.5 meV/atom
E_tot ... -1.872 eV/atom
Crystal system ... cubic
Density of states at the Fermi level ... 5.56 states/eV/cell



Record 2
Here is an optimized crystal structure of Rb3Tm from the Alexandria database. Energies are from GGA-PBE.

CIF file:
```
data_Rb3Tm
_space_group_name_H-M_alt 'F m -3 m'
_space_group_IT_number 225
_space_group_name_Hall '-F 4 2 3'
_cell_length_a 10.146
_cell_length_b 10.146
_cell_length_c 10.146
_cell_angle_alpha 90.00
_cell_angle_beta 90.00
_cell_angle_gamma 90.00
loop_
_atom_site_label
_atom_site_fract_x
_atom_site_fract_y
_atom_site_fract_z
Rb1 0.000 0.000 0.000
Rb2 0.250 0.250 0.250
Tm1 0.000 0.000 0.500
```

Calculated values
Energy above the lowest structure with this stoichiometry ... 0.0016 eV/atom
DFT formation energy ... 622.2 meV/atom
E_tot ... -1.221 eV/atom
Crystal system ... cubic
Density of states at the Fermi level ... 24.78 states/eV/cell